Here is Lu2Sc4P3N3 after structural relaxation from the Open Quantum Materials Database. Energies are from PBE.

total magnetic moment: 0.01 μB per cell
E: -93.56 eV/f.u.
crystal system: monoclinic

Lattice parameters (Å, degrees): 10.373 5.982 12.509 90.00 106.00 90.00
Space group C2/c (No. 15)
One atom of each set of equivalent atoms:
Lu 0.049 0.083 0.394
Sc 0.118 0.419 0.604
Sc 0.214 0.416 0.896
P 0.000 0.429 0.250
P 0.173 0.090 0.750
N 0.085 0.255 0.000
N 0.250 0.250 0.500